1.
Material: Zr4NiMo2
Method: DFT, PBE
State: relaxed

Geometry as extended XYZ:
```
7
Lattice="-2.423 2.423 6.473 2.423 -2.423 6.473 2.423 2.423 -6.473" Properties=species:S:1:pos:R:3 pbc="T T T"
Zr 2.423 0.000 0.000
Zr 0.000 0.000 2.534
Zr 0.000 2.423 0.000
Zr 0.000 0.000 10.413
Ni 0.000 0.000 0.000
Mo 0.000 0.000 5.018
Mo 0.000 0.000 7.929
```

Calculated values
Calculated total energy (eV per atom): -8.230
Formation enthalpy at 0 K (eV per atom): 0.58
Density (g cm⁻³): 6.7

2.
Material: ZrNiMo2
Method: DFT, PBE
State: relaxed

Geometry as extended XYZ:
```
4
Lattice="2.705 -4.640 0.000 2.705 4.640 0.000 -0.960 0.000 2.566" Properties=species:S:1:pos:R:3 pbc="T T T"
Zr 0.000 0.000 0.000
Ni 2.705 0.000 0.000
Mo 0.873 2.320 1.283
Mo 0.873 -2.320 1.283
```

Calculated values
Calculated total energy (eV per atom): -8.875
Formation enthalpy at 0 K (eV per atom): 0.12
Density (g cm⁻³): 8.8

3.
Material: ZrNiMo3
Method: DFT, PBE
State: relaxed

Geometry as extended XYZ:
```
5
Lattice="4.745 0.000 0.000 0.000 4.745 0.000 0.000 0.000 4.745" Properties=species:S:1:pos:R:3 pbc="T T T"
Zr 0.000 0.000 0.000
Ni 2.372 2.372 2.372
Mo 0.000 0.000 2.372
Mo 0.000 2.372 0.000
Mo 2.372 0.000 0.000
```

Calculated values
Polymorph energy (0 for the lowest one) (eV/atom): 1.290
Calculated total energy (eV per atom): -7.053
Formation enthalpy at 0 K (eV per atom): 2.31
Density (g cm⁻³): 6.8

4.
Material: Zr4NiMo
Method: DFT, PBE
State: relaxed

Geometry as extended XYZ:
```
6
Lattice="0.000 3.951 3.951 3.951 0.000 3.951 3.951 3.951 0.000" Properties=species:S:1:pos:R:3 pbc="T T T"
Zr 0.982 0.982 0.982
Zr 2.968 2.968 0.982
Zr 2.968 0.982 2.968
Zr 0.982 2.968 2.968
Ni 3.951 3.951 3.951
Mo 5.926 5.926 5.926
```

Calculated values
Polymorph energy (0 for the lowest one) (eV/atom): 0.939
Calculated total energy (eV per atom): -7.722
Formation enthalpy at 0 K (eV per atom): 0.75
Density (g cm⁻³): 7.0